VASP calculation (PBE) on AcCdRh4 after structural relaxation.

Properties
ΔH_f (0 K) = -281 meV per atom
space group = F-43m

abc: 5.4285 5.4285 5.4285
angles: 60.00 60.00 60.00
Fractional coordinates of all 6 atoms:
Ac: 0.0000 0.0000 0.0000
Cd: 0.2500 0.2500 0.2500
Rh: 0.1274 0.6242 0.6242
Rh: 0.6242 0.1274 0.6242
Rh: 0.6242 0.6242 0.1274
Rh: 0.6242 0.6242 0.6242

---

VASP calculation (PBE) on AcCdSb2Rh5 after structural relaxation.

Properties
space group = P4/mmm

abc: 4.1765 4.1765 11.6039
angles: 90.00 90.00 90.00
Fractional coordinates of all 9 atoms:
Ac: 0.0000 0.0000 0.0000
Cd: 0.0000 0.0000 0.5000
Sb: 0.5000 0.5000 0.2218
Sb: 0.5000 0.5000 0.7782
Rh: 0.0000 0.5000 0.3474
Rh: 0.0000 0.5000 0.6526
Rh: 0.5000 0.0000 0.3474
Rh: 0.5000 0.0000 0.6526
Rh: 0.5000 0.5000 0.0000

---

Calculated calculated total energy in order - -6.019; -5.793 eV/atom
Calculated total magnetization in order - 0.00; 0.00 μB/f.u.
Calculated calculated volume in order - 18.85; 22.49 Å³ per atom